1.
Material: Eu2Pb2O7
Method: DFT, GGA-PBE
State: relaxed

Computed properties:
N(E_F), states/eV/cell: 14.5
Raw total energy, eV for the cell shown: -164.13
Size of the total moment, μB per cell: 23.97
Uncorrected formation energy, eV/atom: -1.7630

Cell lengths 7.7391, 7.7391, 7.7391 Å; angles 60.00, 90.00, 120.00 degrees
Site moments in Bohr magnetons follow the coordinates.
Positions (direct):
Eu: 0.5000 0.0000 0.0000  6.31
Eu: 0.5000 0.0000 0.5000  6.31
Eu: 0.5000 0.5000 0.5000  6.31
Eu: 0.0000 0.5000 0.5000  6.31
Pb: 0.0000 0.0000 0.0000  0.01
Pb: 0.5000 0.5000 0.0000  0.01
Pb: 0.0000 0.5000 0.0000  0.01
Pb: 0.0000 0.0000 0.5000  0.01
O: 0.9055 0.2500 0.3445  -0.07
O: 0.6555 0.3110 0.0945  -0.07
O: 0.6555 0.7500 0.0945  -0.07
O: 0.3445 0.2500 0.3445  -0.07
O: 0.6250 0.2500 0.6250  -0.27
O: 0.9055 0.8110 0.3445  -0.07
O: 0.9055 0.2500 0.9055  -0.07
O: 0.0945 0.7500 0.0945  -0.07
O: 0.0945 0.1890 0.6555  -0.07
O: 0.6555 0.7500 0.6555  -0.07
O: 0.3750 0.7500 0.3750  -0.27
O: 0.3445 0.2500 0.9055  -0.07
O: 0.3445 0.6890 0.9055  -0.07
O: 0.0945 0.7500 0.6555  -0.07

2.
Material: Eu2PbO
Method: DFT, GGA-PBE
State: relaxed

Computed properties:
N(E_F), states/eV/cell: 1.2
Raw total energy, eV for the cell shown: -34.29
Size of the total moment, μB per cell: 14.12
Energy above the most stable polymorph in this dataset, meV/atom: 290
Uncorrected formation energy, eV/atom: -1.2692

Cell lengths 3.3161, 3.3161, 8.1855 Å; angles 90.00, 90.00, 90.00 degrees
Site moments in Bohr magnetons follow the coordinates.
Positions (direct):
Pb: 0.5000 0.5000 0.5000  -0.04
Eu: 0.0000 0.0000 0.8148  6.93
Eu: 0.0000 0.0000 0.1852  6.93
O: 0.5000 0.5000 0.0000  -0.07

3.
Material: EuPdO3
Method: DFT, GGA-PBE
State: relaxed

Computed properties:
N(E_F), states/eV/cell: 9.6
Raw total energy, eV for the cell shown: -37.18
Size of the total moment, μB per cell: 6.18
Uncorrected formation energy, eV/atom: -1.3676

Cell lengths 4.0150, 4.0150, 4.0150 Å; angles 90.00, 90.00, 90.00 degrees
Site moments in Bohr magnetons follow the coordinates.
Positions (direct):
Eu: 0.0000 0.0000 0.0000  6.55
Pd: 0.5000 0.5000 0.5000  -0.16
O: 0.5000 0.5000 0.0000  -0.09
O: 0.5000 0.0000 0.5000  -0.09
O: 0.0000 0.5000 0.5000  -0.09

4.
Material: Pm2EuO
Method: DFT, GGA-PBE
State: relaxed

Computed properties:
N(E_F), states/eV/cell: 2.5
Raw total energy, eV for the cell shown: -29.73
Size of the total moment, μB per cell: 7.19
Uncorrected formation energy, eV/atom: -1.2497

Cell lengths 3.6910, 3.6910, 9.5191 Å; angles 78.82, 78.82, 60.00 degrees
Site moments in Bohr magnetons follow the coordinates.
Positions (direct):
Eu: 0.5000 0.5000 0.5000  -6.93
O: 0.0000 0.0000 0.0000  0.01
Pm: 0.2847 0.2847 0.1459  0.02
Pm: 0.7153 0.7153 0.8541  0.02

5.
Material: PmEuO
Method: DFT, GGA-PBE
State: relaxed

Computed properties:
N(E_F), states/eV/cell: 2.3
Raw total energy, eV for the cell shown: -25.05
Size of the total moment, μB per cell: 8.17
Uncorrected formation energy, eV/atom: -1.6889

Cell lengths 6.1244, 3.6639, 3.6639 Å; angles 120.00, 90.00, 90.00 degrees
Site moments in Bohr magnetons follow the coordinates.
Positions (direct):
Eu: 0.5643 0.3333 0.6667  6.95
O: 0.3294 0.6667 0.3333  -0.02
Pm: 0.1063 0.0000 0.0000  0.36

6.
Material: PrEuO2
Method: DFT, GGA-PBE
State: relaxed

Computed properties:
N(E_F), states/eV/cell: 1.0
Raw total energy, eV for the cell shown: -35.94
Size of the total moment, μB per cell: 6.84
Uncorrected formation energy, eV/atom: -2.7413

Cell lengths 3.5770, 3.5770, 6.2763 Å; angles 73.44, 73.44, 60.00 degrees
Site moments in Bohr magnetons follow the coordinates.
Positions (direct):
Eu: 0.5000 0.5000 0.5000  6.75
Pr: 0.0000 0.0000 0.0000  -0.01
O: 0.2489 0.2489 0.2533  -0.04
O: 0.7511 0.7511 0.7467  -0.04

7.
Material: Pr3EuO
Method: DFT, GGA-PBE
State: relaxed

Computed properties:
N(E_F), states/eV/cell: 9.2
Raw total energy, eV for the cell shown: -34.67
Size of the total moment, μB per cell: 7.50
Uncorrected formation energy, eV/atom: -1.0189

Cell lengths 5.1893, 5.1893, 5.1893 Å; angles 90.00, 90.00, 90.00 degrees
Site moments in Bohr magnetons follow the coordinates.
Positions (direct):
Eu: 0.5000 0.5000 0.5000  6.87
Pr: 0.0000 0.5000 0.0000  0.04
Pr: 0.0000 0.0000 0.5000  0.04
Pr: 0.5000 0.0000 0.0000  0.04
O: 0.0000 0.0000 0.0000  0.01

8.
Material: Pr4Eu2O
Method: DFT, GGA-PBE
State: relaxed

Computed properties:
N(E_F), states/eV/cell: 18.0
Raw total energy, eV for the cell shown: -48.90
Size of the total moment, μB per cell: 15.16
Uncorrected formation energy, eV/atom: -0.6103

Cell lengths 5.0684, 5.0684, 9.8709 Å; angles 104.88, 104.88, 90.00 degrees
Site moments in Bohr magnetons follow the coordinates.
Positions (direct):
Eu: 0.6654 0.6654 0.3307  6.92
Eu: 0.3346 0.3346 0.6693  6.92
Pr: 0.8660 0.8660 0.7320  0.12
Pr: 0.1340 0.1340 0.2680  0.12
Pr: 0.0000 0.5000 0.0000  0.00
Pr: 0.5000 0.0000 0.0000  0.00
O: 0.0000 0.0000 0.0000  0.00

> Which of these has the lowest N(E_F)?

PrEuO2

> Look up the size of the total moment of the second one.

14.12 μB per cell